{"formula": "BaNaAl4", "functional": "PBE", "state": "relaxed", "dos_ef_per_ev_cell": 3.372, "energy_ev_per_cell": -18.6, "lattice_angstrom": [[-3.238, -1.054, 4.803], [-5.293, -2.527, -0.514], [-0.813, -5.531, 1.847]], "species": ["Ba", "Al", "Al", "Na", "Al", "Al"], "frac_coords": [[0.250, 0.250, 0.250], [0.124, 0.625, 0.625], [0.625, 0.625, 0.625], [0.000, 0.000, 0.000], [0.625, 0.625, 0.124], [0.625, 0.124, 0.625]]}


{"formula": "BaNaAl2", "functional": "PBE", "state": "relaxed", "e_above_lowest_polymorph_mev_per_atom": 0, "dos_ef_per_ev_cell": 2.877, "lattice_angstrom": [[0.000, 3.901, 3.901], [3.901, 0.000, 3.901], [3.901, 3.901, 0.000]], "species": ["Na", "Al", "Al", "Ba"], "frac_coords": [[0.000, 0.000, 0.000], [0.250, 0.250, 0.250], [0.750, 0.750, 0.750], [0.500, 0.500, 0.500]]}


{"formula": "BaNaAl3", "functional": "PBE", "state": "relaxed", "e_above_lowest_polymorph_mev_per_atom": 617, "dos_ef_per_ev_cell": 9.785, "lattice_angstrom": [[-5.258, -0.117, 3.119], [-2.368, -3.831, -4.135], [2.033, -4.763, 3.250]], "species": ["Na", "Al", "Ba", "Al", "Al"], "frac_coords": [[0.500, 0.500, 0.500], [0.000, 0.500, 0.000], [0.000, 0.000, 0.000], [0.000, 0.000, 0.500], [0.500, 0.000, 0.000]]}


{"formula": "Ba2NaAl2", "functional": "PBE", "state": "relaxed", "e_above_lowest_polymorph_mev_per_atom": 96, "dos_ef_per_ev_cell": 4.483, "lattice_angstrom": [[6.668, 0.000, 0.000], [0.000, 6.668, 0.000], [3.334, 3.334, 4.551]], "species": ["Ba", "Al", "Ba", "Na", "Al"], "frac_coords": [[0.250, 0.750, 0.500], [0.363, 0.363, 0.275], [0.750, 0.250, 0.500], [0.000, 0.000, 0.000], [0.637, 0.637, 0.725]]}


{"formula": "BaNa2Al2", "functional": "PBE", "state": "relaxed", "e_above_lowest_polymorph_mev_per_atom": 53, "dos_ef_per_ev_cell": 1.792, "lattice_angstrom": [[5.573, 0.000, 0.000], [0.000, 5.573, 0.000], [2.787, 2.787, 5.120]], "species": ["Na", "Na", "Al", "Ba", "Al"], "frac_coords": [[0.637, 0.637, 0.726], [0.363, 0.363, 0.274], [0.250, 0.750, 0.500], [0.000, 0.000, 0.000], [0.750, 0.250, 0.500]]}


{"formula": "BaNa2Al2", "functional": "PBE", "state": "relaxed", "e_above_lowest_polymorph_mev_per_atom": 0, "dos_ef_per_ev_cell": 7.751, "lattice_angstrom": [[9.305, 0.000, 0.000], [0.000, 9.305, 0.000], [0.000, 0.000, 3.357]], "species": ["Al", "Al", "Al", "Na", "Na", "Ba", "Na", "Al", "Ba", "Na"], "frac_coords": [[0.320, 0.180, 0.500], [0.820, 0.320, 0.500], [0.680, 0.820, 0.500], [0.382, 0.882, 0.000], [0.118, 0.382, 0.000], [0.500, 0.500, 0.000], [0.882, 0.618, 0.000], [0.180, 0.680, 0.500], [0.000, 0.000, 0.000], [0.618, 0.118, 0.000]]}


{"formula": "Ba2Na2Al", "functional": "PBE", "state": "relaxed", "e_above_lowest_polymorph_mev_per_atom": 93, "dos_ef_per_ev_cell": 14.091, "lattice_angstrom": [[-0.893, 7.592, -3.101], [-5.517, 1.752, 5.878], [4.254, 1.900, 3.426]], "species": ["Ba", "Ba", "Na", "Na", "Al", "Ba", "Ba", "Na", "Al", "Na"], "frac_coords": [[0.195, 0.695, 0.500], [0.695, 0.805, 0.500], [0.634, 0.134, 0.000], [0.366, 0.866, 0.000], [0.000, 0.000, 0.000], [0.805, 0.305, 0.500], [0.305, 0.195, 0.500], [0.866, 0.634, 0.000], [0.500, 0.500, 0.000], [0.134, 0.366, 0.000]]}


{"formula": "Ba2NaAl2", "functional": "PBE", "state": "relaxed", "e_above_lowest_polymorph_mev_per_atom": 0, "dos_ef_per_ev_cell": 7.913, "lattice_angstrom": [[-5.825, 5.013, 5.615], [-3.104, -8.068, 3.982], [3.071, 0.271, 2.944]], "species": ["Al", "Na", "Al", "Al", "Ba", "Al", "Ba", "Ba", "Na", "Ba"], "frac_coords": [[0.100, 0.400, 0.000], [0.500, 0.500, 0.000], [0.400, 0.900, 0.000], [0.900, 0.600, 0.000], [0.687, 0.813, 0.500], [0.600, 0.100, 0.000], [0.313, 0.187, 0.500], [0.813, 0.313, 0.500], [0.000, 0.000, 0.000], [0.187, 0.687, 0.500]]}


{"formula": "Ba3NaAl", "functional": "PBE", "state": "relaxed", "e_above_lowest_polymorph_mev_per_atom": 0, "dos_ef_per_ev_cell": 6.593, "lattice_angstrom": [[-1.070, 6.417, 1.619], [-5.843, -0.146, -3.284], [-3.108, -1.936, 5.616]], "species": ["Ba", "Na", "Ba", "Al", "Ba"], "frac_coords": [[0.500, 0.000, 0.000], [0.500, 0.500, 0.500], [0.000, 0.000, 0.500], [0.000, 0.000, 0.000], [0.000, 0.500, 0.000]]}


{"formula": "Ba2NaAl2", "functional": "PBE", "state": "relaxed", "e_above_lowest_polymorph_mev_per_atom": 100, "dos_ef_per_ev_cell": 4.713, "lattice_angstrom": [[-1.396, 3.278, 1.726], [0.361, -1.715, 3.550], [10.827, 5.117, 3.580]], "species": ["Ba", "Na", "Al", "Ba", "Al"], "frac_coords": [[0.372, 0.372, 0.255], [0.000, 0.000, 0.000], [0.250, 0.750, 0.500], [0.628, 0.628, 0.745], [0.750, 0.250, 0.500]]}


{"formula": "BaNaAl3", "functional": "PBE", "state": "relaxed", "e_above_lowest_polymorph_mev_per_atom": 0, "dos_ef_per_ev_cell": 4.269, "lattice_angstrom": [[5.325, 0.000, 0.000], [0.000, 5.325, 0.000], [0.000, 0.000, 5.325]], "species": ["Ba", "Na", "Al", "Al", "Al"], "frac_coords": [[0.500, 0.500, 0.500], [0.000, 0.000, 0.000], [0.000, 0.500, 0.000], [0.500, 0.000, 0.000], [0.000, 0.000, 0.500]]}


{"formula": "Ba2NaAl2", "functional": "PBE", "state": "relaxed", "e_above_lowest_polymorph_mev_per_atom": 100, "dos_ef_per_ev_cell": 7.300, "lattice_angstrom": [[10.004, 0.000, 0.000], [0.000, 10.004, 0.000], [0.000, 0.000, 3.656]], "species": ["Al", "Al", "Al", "Na", "Ba", "Ba", "Al", "Ba", "Na", "Ba"], "frac_coords": [[0.599, 0.901, 0.500], [0.401, 0.099, 0.500], [0.901, 0.401, 0.500], [0.000, 0.000, 0.000], [0.812, 0.688, 0.000], [0.688, 0.188, 0.000], [0.099, 0.599, 0.500], [0.312, 0.812, 0.000], [0.500, 0.500, 0.000], [0.188, 0.312, 0.000]]}


Copy entry 10 word for word.
{"formula": "Ba2NaAl2", "functional": "PBE", "state": "relaxed", "e_above_lowest_polymorph_mev_per_atom": 100, "dos_ef_per_ev_cell": 4.713, "lattice_angstrom": [[-1.396, 3.278, 1.726], [0.361, -1.715, 3.550], [10.827, 5.117, 3.580]], "species": ["Ba", "Na", "Al", "Ba", "Al"], "frac_coords": [[0.372, 0.372, 0.255], [0.000, 0.000, 0.000], [0.250, 0.750, 0.500], [0.628, 0.628, 0.745], [0.750, 0.250, 0.500]]}